# In2FeOs

A relaxed structure of In2FeOs (PBE-GGA, Alexandria via LeMat-Bulk).

```
In2FeOs
1.0
0.0000 3.2319 3.2319
3.2319 0.0000 3.2319
3.2319 3.2319 0.0000
Os In Fe
1 2 1
direct
0.5000 0.5000 0.5000
0.2500 0.2500 0.2500
0.7500 0.7500 0.7500
0.0000 0.0000 0.0000
```

Results
formation energy	0.47	eV per atom